The following is a DFT calculation (PBE) of an optimized crystal structure of BeCrIr.

* formation energy from the elements: -288 meV per atom
* D(E_F): 1.72 states/eV/cell
* relative energy among the computed polymorphs: 0 meV per atom
* energy: -23.07 eV for the cell shown
* volume: 34.04 Å³/cell

Lattice parameters (Å, degrees): 4.8346 4.8346 4.8346 146.64 146.64 47.90
Last column: nearest neighbours and their distance in Å.
Element x y z (fractional)
Cr 0.3413 0.3413 0.0000  4 Be 2.42, 4 Ir 2.55
Ir 0.6576 0.6576 0.0000  4 Be 2.40, 4 Cr 2.55
Be 0.0011 0.0011 0.0000  4 Ir 2.40, 4 Cr 2.42